## SmDy5Th (GGA-PBE)

Data for SmDy5Th after structural relaxation.

a b c (Å): 9.317 9.317 8.664
angles (deg): 94.04 94.04 141.50
Positions (direct):
Sm 0.012 0.988 0.750
Sm 0.988 0.012 0.250
Dy 0.039 0.725 0.039
Dy 0.111 0.484 0.354
Dy 0.275 0.961 0.461
Dy 0.353 0.647 0.750
Dy 0.484 0.111 0.854
Dy 0.516 0.889 0.146
Dy 0.647 0.353 0.250
Dy 0.725 0.039 0.539
Dy 0.889 0.516 0.646
Dy 0.961 0.275 0.961
Th 0.500 0.500 0.000
Th 0.500 0.500 0.500

## Properties
SG: C2/c, No. 15
Size of the total moment: 0.0 μB per formula unit
Energy relative to the elements: 0.19 eV per atom

=====

## MgU4Ga12 (GGA-PBE)

Data for MgU4Ga12 after structural relaxation.

a b c (Å): 7.521 7.521 7.521
angles (deg): 109.47 109.47 109.47
Positions (direct):
Mg 0.000 0.000 0.000
U 0.000 0.000 0.500
U 0.000 0.500 0.000
U 0.500 0.000 0.000
U 0.500 0.500 0.500
Ga 0.000 0.305 0.305
Ga 0.000 0.695 0.695
Ga 0.250 0.500 0.750
Ga 0.250 0.750 0.500
Ga 0.305 0.000 0.305
Ga 0.305 0.305 0.000
Ga 0.500 0.250 0.750
Ga 0.500 0.750 0.250
Ga 0.695 0.000 0.695
Ga 0.695 0.695 0.000
Ga 0.750 0.250 0.500
Ga 0.750 0.500 0.250

## Properties
SG: Im-3m, No. 229
Size of the total moment: 9.4 μB per formula unit
Energy relative to the elements: -0.19 eV per atom

=====

## CsTePbN2 (GGA-PBE)

Data for CsTePbN2 after structural relaxation.

a b c (Å): 4.802 4.802 7.557
angles (deg): 90.00 90.00 90.00
Positions (direct):
Cs 0.000 0.000 0.000
Te 0.000 0.000 0.500
Pb 0.500 0.500 0.500
N 0.000 0.500 0.000
N 0.500 0.000 0.000

## Properties
SG: P4/mmm, No. 123
Size of the total moment: 3.3 μB per formula unit
Distance to the lowest polymorph of the same formula: 0.698 eV/atom

=====

## NbAg (GGA-PBE)

Data for NbAg after structural relaxation.

a b c (Å): 3.870 3.870 3.870
angles (deg): 60.00 60.00 60.00
Positions (direct):
Nb 0.000 0.000 0.000
Ag 0.500 0.500 0.500

## Properties
SG: Fm-3m, No. 225
Size of the total moment: 0.0 μB per formula unit
Energy relative to the elements: 1.20 eV per atom

=====

## ZnReAs2Br (GGA-PBE)

Data for ZnReAs2Br after structural relaxation.

a b c (Å): 4.834 4.834 5.002
angles (deg): 90.00 90.00 90.00
Positions (direct):
Zn 0.000 0.000 0.000
Re 0.500 0.500 0.500
As 0.000 0.500 0.000
As 0.500 0.000 0.000
Br 0.000 0.000 0.500

## Properties
SG: P4/mmm, No. 123
Size of the total moment: 3.5 μB per formula unit
Distance to the lowest polymorph of the same formula: 0.905 eV/atom

=====

## NbCuSb2 (GGA-PBE)

Data for NbCuSb2 after structural relaxation.

a b c (Å): 7.371 7.371 7.371
angles (deg): 129.98 129.98 73.44
Positions (direct):
Nb 0.000 0.000 0.000
Nb 0.750 0.250 0.500
Cu 0.250 0.750 0.500
Cu 0.500 0.500 0.000
Sb 0.141 0.625 0.016
Sb 0.375 0.391 0.516
Sb 0.609 0.125 0.984
Sb 0.875 0.859 0.484

## Properties
SG: I-42d, No. 122
Size of the total moment: 0.0 μB per formula unit
Uncorrected energy: -41.05 eV per cell

=====

## HfVRu2 (GGA-PBE)

Data for HfVRu2 after structural relaxation.

a b c (Å): 4.438 4.438 3.131
angles (deg): 90.00 90.00 90.00
Positions (direct):
Hf 0.000 0.000 0.000
V 0.500 0.500 0.000
Ru 0.000 0.500 0.500
Ru 0.500 0.000 0.500

## Properties
SG: P4/mmm, No. 123
Size of the total moment: 0.7 μB per formula unit
Energy relative to the elements: -0.44 eV per atom

=====

## Ti2InBr (GGA-PBE)

Data for Ti2InBr after structural relaxation.

a b c (Å): 4.807 4.807 4.807
angles (deg): 60.00 60.00 60.00
Positions (direct):
Ti 0.250 0.250 0.250
Ti 0.750 0.750 0.750
In 0.000 0.000 0.000
Br 0.500 0.500 0.500

## Properties
SG: Fm-3m, No. 225
Size of the total moment: 1.7 μB per formula unit
Distance to the lowest polymorph of the same formula: 0.000 eV/atom